Entry 1:
A plane-wave DFT calculation with GGA-PBE was carried out for Rb3Sm2DyTe6 after structural relaxation.

The space group is C2/m (No. 12) and the conventional cell measures 7.928, 13.732 and 8.961 Å, with angles of 90.00, 107.16 and 90.00 degrees. The asymmetric unit holds Rb at (0.000, 0.000, 0.000), Rb at (0.000, 0.332, 0.000), Sm at (0.000, 0.166, 0.500), Dy at (0.000, 0.500, 0.500), Te at (0.231, 0.336, 0.702) and Te at (0.239, 0.000, 0.702).

Its uncorrected formation energy is -1396 meV/atom.

=====

Entry 2:
A plane-wave DFT calculation with GGA-PBE was carried out for RbSN2Cl after structural relaxation.

The space group is P4/mmm (No. 123) and the conventional cell measures 5.760, 5.760 and 6.438 Å, with angles of 90.00, 90.00 and 90.00 degrees. The asymmetric unit holds Rb at (0.000, 0.000, 0.000), S at (0.000, 0.000, 0.500), N at (0.000, 0.500, 0.000) and Cl at (0.500, 0.500, 0.500).

Its uncorrected formation energy is 2129 meV/atom. The density of states at the Fermi level comes out at 0.56 states/eV/atom.